MgAgMoIr | PBE | relaxed

extended XYZ file:
```
4
Lattice="0.121 -3.983 -2.087 -3.563 -1.417 -2.351 0.196 -0.182 -4.490" Properties=species:S:1:pos:R:3 pbc="T T T"
Ag 0.000 0.000 0.000
Ir -1.623 -2.790 -4.464
Mg -2.435 -4.186 -6.695
Mo -0.812 -1.395 -2.232
```

Calculated values
The calculation puts the final energy at -23.71 eV per cell. The calculation puts the excess energy over the best structure of this formula in the dataset at 0 meV/atom.


NdTlSeO | PBE | relaxed

extended XYZ file:
```
8
Lattice="-2.659 -3.361 -2.110 5.788 -1.074 -5.581 2.845 -4.667 3.849" Properties=species:S:1:pos:R:3 pbc="T T T"
Nd 3.763 -2.762 -5.748
Nd 0.977 -4.315 0.235
O -0.209 -2.755 -0.756
O 5.952 -5.969 -3.399
Se 4.356 -1.372 -3.302
Se 3.630 -3.307 0.694
Tl 2.029 -0.842 -1.215
Tl 5.821 -3.616 -1.575
```

Calculated values
The calculation puts the final energy at -44.63 eV per cell. The calculation puts the excess energy over the best structure of this formula in the dataset at 279 meV/atom.


La2Si5Ni3 | PBE | relaxed

extended XYZ file:
```
20
Lattice="-4.872 5.764 2.904 4.872 -5.764 2.904 4.872 5.764 -2.904" Properties=species:S:1:pos:R:3 pbc="T T T"
La -2.538 4.273 2.904
La 2.334 1.491 2.904
La 2.538 4.273 0.000
La 7.410 1.491 0.000
Ni -1.090 1.524 2.904
Ni 1.090 1.524 0.000
Ni 0.000 5.764 1.452
Ni 4.872 0.000 1.452
Ni 3.782 4.240 2.904
Ni 5.962 4.240 0.000
Si 0.000 0.000 1.452
Si 0.000 0.000 4.356
Si 3.474 -1.272 2.904
Si 0.000 3.014 1.452
Si 4.872 -2.750 1.452
Si 3.474 1.272 0.000
Si 1.397 4.491 2.904
Si 0.000 8.513 1.452
Si 4.872 2.750 1.452
Si 1.397 7.036 0.000
```

Calculated values
The calculation puts the final energy at -122.82 eV per cell.


SmErAsO | PBE | relaxed

extended XYZ file:
```
8
Lattice="4.295 0.000 0.000 0.000 4.295 0.000 0.000 0.000 9.012" Properties=species:S:1:pos:R:3 pbc="T T T"
As 0.000 2.148 2.557
As 2.148 0.000 6.456
Er 2.148 0.000 0.861
Er 0.000 2.148 8.151
O 0.000 0.000 0.000
O 2.148 2.148 0.000
Sm 0.000 0.000 4.506
Sm 2.148 2.148 4.506
```

Calculated values
The calculation puts the final energy at -52.29 eV per cell. The calculation puts the excess energy over the best structure of this formula in the dataset at 162 meV/atom.


final energy of number 4 (SmErAsO)?
-52.29 eV per cell


final energy of number 1 (MgAgMoIr)?
-23.71 eV per cell


Among the records above, which one has the lowest final energy?
La2Si5Ni3